No. 1
# KTl2Sb

KTl2Sb at its PBEsol-relaxed geometry (meta-GGA SCAN, Alexandria via LeMat-Bulk).

Cell: 4.014 4.016 7.669 Å, 90.00 90.00 90.00°
Fractional coordinates of all 4 atoms:
K1 0.500 0.500 0.000
Tl1 0.000 0.000 0.292
Tl2 0.000 0.000 0.708
Sb1 0.500 0.500 0.500

Computed properties:
For the total DFT energy (no corrections), the calculation gives -47.793 eV per atom.

No. 2
# KNi3As3O11

KNi3As3O11 at its PBEsol-relaxed geometry (meta-GGA SCAN, Alexandria via LeMat-Bulk).

Cell: 9.661 9.999 10.133 Å, 60.51 90.00 90.00°
Site moments in Bohr magnetons follow the coordinates.
Fractional coordinates of all 72 atoms:
As1 0.346 0.164 0.932  0.01
O1 0.274 0.314 0.766  0.09
Ni1 0.127 0.991 0.097  1.67
O2 0.750 0.809 0.435  0.07
O3 0.731 0.652 0.770  0.04
O4 0.500 0.511 0.248  0.08
As2 0.944 0.149 0.261  0.02
O5 0.250 0.191 0.565  0.07
O6 0.990 0.312 0.079  0.01
O7 0.023 0.334 0.565  0.07
As3 0.927 0.318 0.911  0.02
As4 0.154 0.664 0.432  0.01
O8 0.226 0.814 0.266  0.09
O9 0.774 0.186 0.734  0.09
O10 0.726 0.686 0.234  0.09
O11 0.250 0.691 0.065  0.07
O12 0.507 0.342 0.586  0.10
O13 0.510 0.812 0.579  0.01
O14 0.523 0.166 0.935  0.07
Ni2 0.141 0.354 0.385  1.68
O15 0.737 0.851 0.914  0.06
O16 0.744 0.983 0.086  0.14
O17 0.769 0.152 0.270  0.04
Ni3 0.627 0.509 0.403  1.67
O18 0.269 0.348 0.230  0.04
O19 0.007 0.158 0.914  0.10
As5 0.846 0.336 0.568  0.01
O20 0.016 0.515 0.232  0.04
O21 0.484 0.015 0.732  0.04
O22 0.750 0.309 0.935  0.07
As6 0.556 0.649 0.761  0.02
O23 0.231 0.848 0.730  0.04
O24 0.237 0.649 0.586  0.06
Ni4 0.634 0.327 0.763  1.68
O25 0.493 0.658 0.414  0.10
O26 0.263 0.149 0.086  0.06
Ni5 0.641 0.146 0.115  1.68
Ni6 0.866 0.827 0.263  1.68
As7 0.073 0.682 0.089  0.02
O27 0.256 0.017 0.914  0.14
O28 0.034 0.173 0.390  0.04
Ni7 0.859 0.646 0.615  1.68
O29 0.763 0.351 0.414  0.06
O30 0.534 0.327 0.110  0.04
Ni8 0.373 0.491 0.597  1.67
Ni9 0.366 0.673 0.237  1.68
O31 0.490 0.188 0.421  0.01
O32 0.244 0.517 0.414  0.14
O33 0.000 0.989 0.252  0.08
K1 0.734 0.001 0.592  0.00
K2 0.234 0.499 0.908  0.00
As8 0.444 0.351 0.239  0.02
O34 0.477 0.834 0.065  0.07
O35 0.010 0.688 0.921  0.01
O36 0.993 0.842 0.086  0.10
O37 0.984 0.485 0.768  0.04
K3 0.266 0.999 0.408  0.00
As9 0.056 0.851 0.739  0.02
K4 0.766 0.501 0.092  0.00
As10 0.427 0.182 0.589  0.02
As11 0.573 0.818 0.411  0.02
O38 0.000 0.011 0.748  0.08
O39 0.966 0.827 0.610  0.04
O40 0.500 0.489 0.752  0.08
O41 0.756 0.483 0.586  0.14
Ni10 0.359 0.854 0.885  1.68
Ni11 0.134 0.173 0.737  1.68
As12 0.654 0.836 0.068  0.01
O42 0.516 0.985 0.268  0.04
O43 0.977 0.666 0.435  0.07
Ni12 0.873 0.009 0.903  1.67
O44 0.466 0.673 0.890  0.04

Computed properties:
For the total DFT energy (no corrections), the calculation gives -11.804 eV per atom.

No. 3
# InSi2Mo

InSi2Mo at its PBEsol-relaxed geometry (meta-GGA SCAN, Alexandria via LeMat-Bulk).

Cell: 3.310 5.982 4.493 Å, 121.05 111.61 90.00°
Fractional coordinates of all 4 atoms:
Si1 0.956 0.828 0.911
Si2 0.681 0.174 0.363
In1 0.559 0.521 0.119
Mo1 0.303 0.977 0.607

Computed properties:
For the total DFT energy (no corrections), the calculation gives -21.939 eV per atom.

- total DFT energy (no corrections) of number 2 (KNi3As3O11)?
  -11.804 eV per atom